## Ta2RuAu (GGA-PBE)

Data for a relaxed structure of Ta2RuAu.

It has space group Imm2 (No. 44), with a = 3.1846 Å, b = 4.6272 Å, c = 9.3238 Å, α = 90.00°, β = 90.00° and γ = 90.00°. The asymmetric unit holds Ta at (0.0000, 0.0000, 0.0000), Ta at (0.0000, 0.5000, 0.2496), Ru at (0.0000, 0.0000, 0.5228) and Au at (0.0000, 0.5000, 0.7597).

The formation energy from the elements comes out at 0.01 eV/atom. The total energy is -9.06 eV per atom.